This record from Alexandria via LeMat-Bulk describes a relaxed Na3Y3MoO8 crystal. The functional is GGA+U.

Cell and atoms, written as POSCAR:
```
Na3Y3MoO8
1.0
6.734 0.000 0.000
-3.367 5.879 0.009
0.000 -3.873 5.571
Na Y Mo O
3 3 1 8
Direct
0.000 0.000 0.000 Na
0.000 0.500 0.000 Na
0.500 0.500 0.000 Na
0.500 0.000 0.500 Y
0.500 0.500 0.500 Y
0.000 0.500 0.500 Y
0.000 0.000 0.500 Mo
0.265 0.530 0.291 O
0.735 0.470 0.709 O
0.776 0.552 0.299 O
0.224 0.448 0.701 O
0.783 0.022 0.303 O
0.217 0.978 0.697 O
0.239 0.022 0.303 O
0.761 0.978 0.697 O
```

* DOS at the Fermi energy: 0.000 states/eV/cell
* DFT total energy: -108.66 eV/f.u.
* volume: 220.77 Å³ per cell